1.
NaSrPt4: relaxed, PBE-GGA.

Calculated values
**SG**: No. 216
**ΔE_f**: -0.668 eV per atom

abc: 5.4701 5.4701 5.4701
angles: 60.00 60.00 60.00
Closest atoms and distances in Å follow each position.
Fractional positions:
Sr: 0.2500 0.2500 0.2500  12 Pt 3.21, 4 Na 3.35
Pt: 0.6253 0.6253 0.1242  6 Pt 2.73-2.74
Pt: 0.6253 0.1242 0.6253  6 Pt 2.73-2.74
Pt: 0.6253 0.6253 0.6253  6 Pt 2.73-2.74
Pt: 0.1242 0.6253 0.6253  6 Pt 2.73-2.74
Na: 0.0000 0.0000 0.0000  12 Pt 3.21, 4 Sr 3.35

---

2.
NaSr7Pt2: relaxed, PBE-GGA.

Calculated values
**SG**: No. 65
**ΔE_f**: -0.374 eV per atom

abc: 5.9424 9.2740 9.2740
angles: 115.39 90.00 90.00
Closest atoms and distances in Å follow each position.
Fractional positions:
Na: 0.0000 0.0000 0.0000  8 Sr 4.16
Sr: 0.0000 0.7020 0.2980  2 Pt 2.97
Sr: 0.0000 0.2980 0.7020  2 Pt 2.97
Sr: 0.5000 0.0497 0.3318  2 Pt 3.14-3.20
Sr: 0.5000 0.9503 0.6682  2 Pt 3.14-3.20
Sr: 0.5000 0.3318 0.0497  2 Pt 3.14-3.20
Sr: 0.5000 0.6682 0.9503  2 Pt 3.14-3.20
Sr: 0.5000 0.5000 0.5000  2 Pt 3.12
Pt: 0.5000 0.6988 0.3012  7 Sr 2.97-3.20
Pt: 0.5000 0.3012 0.6988  7 Sr 2.97-3.20

---

3.
NaSrPt: relaxed, PBE-GGA.

Calculated values
**SG**: No. 156
**ΔE to the lowest computed polymorph**: 180 meV per atom
**ΔE_f**: -0.302 eV per atom

abc: 3.9935 4.8221 4.8221
angles: 120.00 90.00 90.00
Closest atoms and distances in Å follow each position.
Fractional positions:
Sr: 0.6673 0.3333 0.6667  6 Pt 3.42-3.43, 6 Na 3.42-3.43
Pt: 0.1637 0.0000 0.0000  3 Na 2.78
Na: 0.1689 0.6667 0.3333  3 Pt 2.78

---

What volume values result from the calculations? In sequence: 115.7, 461.7, 80.4 Å³ per cell.